Rb2AlRhCl6: optimized geometry, PBE-GGA.

Unit cell a=7.0987 b=7.0987 c=7.0991 alpha=60.00 beta=60.00 gamma=90.00
With the nearest neighbours (Å) after each atom.
Fractional positions:
Rb 0.2500 0.7500 0.5000  12 Cl 3.55
Rb 0.7500 0.2500 0.5000  12 Cl 3.55
Al 0.5000 0.5000 0.0000  6 Cl 2.36
Cl 0.7354 0.7354 0.0000  1 Al 2.36
Rh 0.0000 0.0000 0.0000  6 Cl 2.66
Cl 0.7354 0.2646 0.0000  1 Al 2.36
Cl 0.2646 0.7354 0.0000  1 Al 2.36
Cl 0.2646 0.2646 0.4709  1 Al 2.36
Cl 0.2646 0.2646 0.0000  1 Al 2.36
Cl 0.7354 0.7354 0.5291  1 Al 2.36

- space group = Fm-3m (225)
- total magnetization (Bohr magnetons per cell) = 2.00
- ρ (g cm⁻³) = 3.37
- energy (eV per atom) = -3.70
- DOS at the Fermi energy (states/eV per cell) = 0.0



Rb2AlRuCl6: optimized geometry, PBE-GGA.

Unit cell a=6.9825 b=6.9825 c=6.9793 alpha=59.98 beta=59.98 gamma=90.00
With the nearest neighbours (Å) after each atom.
Fractional positions:
Cl 0.7458 0.7458 0.5084  1 Al 2.43, 1 Ru 2.51
Cl 0.2542 0.2542 0.4916  1 Al 2.43, 1 Ru 2.51
Rb 0.7500 0.2500 0.5000  12 Cl 3.49
Ru 0.0000 0.0000 0.0000  6 Cl 2.51
Cl 0.2541 0.7459 0.0000  1 Al 2.43, 1 Ru 2.51
Cl 0.2541 0.2541 0.0000  1 Al 2.43, 1 Ru 2.51
Rb 0.2500 0.7500 0.5000  12 Cl 3.49
Cl 0.7459 0.7459 0.0000  1 Al 2.43, 1 Ru 2.51
Cl 0.7459 0.2541 0.0000  1 Al 2.43, 1 Ru 2.51
Al 0.5000 0.5000 0.0000  6 Cl 2.43

- space group = I4/mmm (139)
- total magnetization (Bohr magnetons per cell) = 0.00
- ρ (g cm⁻³) = 3.53
- energy (eV per atom) = -3.76
- DOS at the Fermi energy (states/eV per cell) = 3.3



Rb2AlSCl6: optimized geometry, PBE-GGA.

Unit cell a=7.8348 b=7.8348 c=7.3763 alpha=57.92 beta=57.92 gamma=90.00
With the nearest neighbours (Å) after each atom.
Fractional positions:
Cl 0.7053 0.7053 0.0000  1 Al 2.28
Cl 0.7053 0.2947 0.0000  1 Al 2.28
Cl 0.2947 0.2947 0.0000  1 Al 2.28
Rb 0.7500 0.2500 0.5000  12 Cl 3.72-3.92
Al 0.5000 0.5000 0.0000  4 Cl 2.28
Cl 0.2947 0.7053 0.0000  1 Al 2.28
Cl 0.2349 0.2349 0.5302  1 S 2.29
Cl 0.7651 0.7651 0.4698  1 S 2.29
S 0.0000 0.0000 0.0000  2 Cl 2.29
Rb 0.2500 0.7500 0.5000  12 Cl 3.72-3.92

- space group = I4/mmm (139)
- total magnetization (Bohr magnetons per cell) = 1.00
- ρ (g cm⁻³) = 2.46
- energy (eV per atom) = -3.31
- DOS at the Fermi energy (states/eV per cell) = 4.4



Rb2AlSiCl6: optimized geometry, PBE-GGA.

Unit cell a=7.2597 b=7.2597 c=7.2560 alpha=59.98 beta=59.98 gamma=90.00
With the nearest neighbours (Å) after each atom.
Fractional positions:
Cl 0.2604 0.2604 0.0000  1 Al 2.46, 1 Si 2.67
Si 0.0000 0.0000 0.0000  6 Cl 2.67-2.69
Al 0.5000 0.5000 0.0000  6 Cl 2.44-2.46
Cl 0.7396 0.2604 0.0000  1 Al 2.46, 1 Si 2.67
Rb 0.2500 0.7500 0.5000  12 Cl 3.63
Cl 0.7396 0.7396 0.0000  1 Al 2.46, 1 Si 2.67
Rb 0.7500 0.2500 0.5000  12 Cl 3.63
Cl 0.2604 0.7396 0.0000  1 Al 2.46, 1 Si 2.67
Cl 0.2619 0.2619 0.4762  1 Al 2.44, 1 Si 2.69
Cl 0.7381 0.7381 0.5238  1 Al 2.44, 1 Si 2.69

- space group = I4/mmm (139)
- total magnetization (Bohr magnetons per cell) = 0.00
- ρ (g cm⁻³) = 2.70
- energy (eV per atom) = -3.50
- DOS at the Fermi energy (states/eV per cell) = 2.8